#i
An optimized crystal structure of BaBiRu3, computed with PBE.

a = 5.1084 Å, b = 5.1084 Å, c = 5.1084 Å
α = 90.00°, β = 90.00°, γ = 90.00°
Closest atoms and distances in Å follow each position.
Positions (direct):
Ba (0.0000, 0.0000, 0.0000)  12 Ru 3.61
Bi (0.5000, 0.5000, 0.5000)  6 Ru 2.55
Ru (0.0000, 0.5000, 0.5000)  2 Bi 2.55
Ru (0.5000, 0.0000, 0.5000)  2 Bi 2.55
Ru (0.5000, 0.5000, 0.0000)  2 Bi 2.55

Symmetry: No. 221



#ii
An optimized crystal structure of BaBiRu3, computed with PBE.

a = 5.0455 Å, b = 5.0455 Å, c = 5.0455 Å
α = 90.00°, β = 90.00°, γ = 90.00°
Closest atoms and distances in Å follow each position.
Positions (direct):
Ba (0.0000, 0.0000, 0.0000)  6 Ru 2.52
Bi (0.5000, 0.5000, 0.5000)  12 Ru 3.57
Ru (0.0000, 0.0000, 0.5000)  2 Ba 2.52
Ru (0.0000, 0.5000, 0.0000)  2 Ba 2.52
Ru (0.5000, 0.0000, 0.0000)  2 Ba 2.52

Symmetry: No. 221



The winner here is #i, beating the second structure by 1.063 eV/atom.



#i
An optimized crystal structure of Ba2BiS, computed with PBE.

a = 5.8852 Å, b = 5.8852 Å, c = 5.8852 Å
α = 60.00°, β = 60.00°, γ = 60.00°
Closest atoms and distances in Å follow each position.
Positions (direct):
Ba (0.2500, 0.2500, 0.2500)  4 S 3.60, 4 Bi 3.60
Ba (0.7500, 0.7500, 0.7500)  4 S 3.60, 4 Bi 3.60
Bi (0.0000, 0.0000, 0.0000)  8 Ba 3.60
S (0.5000, 0.5000, 0.5000)  8 Ba 3.60

Symmetry: No. 225



#ii
An optimized crystal structure of Ba2BiS, computed with PBE.

a = 7.7233 Å, b = 7.7233 Å, c = 7.7233 Å
α = 111.72°, β = 111.72°, γ = 105.06°
Closest atoms and distances in Å follow each position.
Positions (direct):
Ba (0.0760, 0.6250, 0.9510)  2 S 3.02
Ba (0.3750, 0.3260, 0.4510)  2 S 3.02
Ba (0.6740, 0.1250, 0.0490)  2 S 3.02
Ba (0.8750, 0.9240, 0.5490)  2 S 3.02
Bi (0.2500, 0.7500, 0.5000)  4 Ba 3.58
Bi (0.5000, 0.5000, 0.0000)  4 Ba 3.58
S (0.0000, 0.0000, 0.0000)  4 Ba 3.02
S (0.7500, 0.2500, 0.5000)  4 Ba 3.02

Symmetry: No. 122



#iii
An optimized crystal structure of Ba2BiS, computed with PBE.

a = 9.0322 Å, b = 9.0322 Å, c = 9.0322 Å
α = 29.48°, β = 29.48°, γ = 29.48°
Closest atoms and distances in Å follow each position.
Positions (direct):
Ba (0.2377, 0.2377, 0.2377)  3 S 3.23
Ba (0.7623, 0.7623, 0.7623)  3 S 3.23
Bi (0.0000, 0.0000, 0.0000)  6 Ba 3.63
S (0.5000, 0.5000, 0.5000)  6 Ba 3.23

Symmetry: No. 166



The winner here is #iii, beating the second structure by 0.207 eV/atom.



#i
An optimized crystal structure of Ba2BiS4, computed with PBE.

a = 7.9325 Å, b = 12.2107 Å, c = 4.3966 Å
α = 90.00°, β = 90.00°, γ = 90.00°
Closest atoms and distances in Å follow each position.
Positions (direct):
Ba (0.0898, 0.1806, 0.0000)  7 S 3.13-3.36
Ba (0.4102, 0.6806, 0.0000)  7 S 3.13-3.36
Ba (0.5898, 0.3194, 0.0000)  7 S 3.13-3.36
Ba (0.9102, 0.8194, 0.0000)  7 S 3.13-3.36
Bi (0.0000, 0.5000, 0.5000)  6 S 2.70-2.88
Bi (0.5000, 0.0000, 0.5000)  6 S 2.70-2.88
S (0.1310, 0.7045, 0.5000)  1 Bi 2.70
S (0.2166, 0.4430, 0.0000)  2 Bi 2.88
S (0.2834, 0.9430, 0.0000)  2 Bi 2.88
S (0.3690, 0.2045, 0.5000)  1 Bi 2.70
S (0.6310, 0.7955, 0.5000)  1 Bi 2.70
S (0.7166, 0.0570, 0.0000)  2 Bi 2.88
S (0.7834, 0.5570, 0.0000)  2 Bi 2.88
S (0.8690, 0.2955, 0.5000)  1 Bi 2.70

Symmetry: No. 55



#ii
An optimized crystal structure of Ba2BiS4, computed with PBE.

a = 8.8006 Å, b = 8.8006 Å, c = 8.8006 Å
α = 145.53°, β = 145.53°, γ = 49.54°
Closest atoms and distances in Å follow each position.
Positions (direct):
Ba (0.1396, 0.1396, 0.0000)  1 S 3.05
Ba (0.8604, 0.8604, 0.0000)  1 S 3.05
Bi (0.5000, 0.5000, 0.0000)  6 S 2.61-2.71
S (0.0000, 0.5000, 0.5000)  2 Bi 2.61
S (0.3302, 0.3302, 0.0000)  1 Bi 2.71
S (0.5000, 0.0000, 0.5000)  2 Bi 2.61
S (0.6698, 0.6698, 0.0000)  1 Bi 2.71

Symmetry: No. 139



The winner here is #i, beating the second structure by 0.075 eV/atom.



#i
An optimized crystal structure of Ba2Bi2Sb, computed with PBE.

a = 6.9834 Å, b = 6.9834 Å, c = 14.2724 Å
α = 114.57°, β = 114.57°, γ = 41.97°
Closest atoms and distances in Å follow each position.
Positions (direct):
Ba (0.0672, 0.0672, 0.3721)  2 Sb 3.61, 5 Bi 3.73-3.82
Ba (0.1945, 0.1945, 0.1101)  2 Sb 3.51, 6 Bi 3.70-3.84
Ba (0.8055, 0.8055, 0.8899)  2 Sb 3.51, 6 Bi 3.70-3.84
Ba (0.9328, 0.9328, 0.6279)  2 Sb 3.61, 5 Bi 3.73-3.82
Bi (0.3754, 0.3754, 0.4082)  1 Bi 3.14, 2 Sb 3.27
Bi (0.4701, 0.4701, 0.0945)  1 Sb 3.09, 1 Bi 3.12
Bi (0.5299, 0.5299, 0.9055)  1 Sb 3.09, 1 Bi 3.12
Bi (0.6246, 0.6246, 0.5918)  1 Bi 3.14, 2 Sb 3.27
Sb (0.2931, 0.2931, 0.7127)  3 Bi 3.09-3.27
Sb (0.7069, 0.7069, 0.2873)  3 Bi 3.09-3.27

Symmetry: No. 12



#ii
An optimized crystal structure of Ba2Bi2Sb, computed with PBE.

a = 8.6468 Å, b = 8.6468 Å, c = 5.1927 Å
α = 90.00°, β = 90.00°, γ = 90.00°
Closest atoms and distances in Å follow each position.
Positions (direct):
Ba (0.1760, 0.3240, 0.0000)  6 Bi 3.52-3.73
Ba (0.3240, 0.8240, 0.0000)  6 Bi 3.52-3.73
Ba (0.6760, 0.1760, 0.0000)  6 Bi 3.52-3.73
Ba (0.8240, 0.6760, 0.0000)  6 Bi 3.52-3.73
Bi (0.1295, 0.6295, 0.5000)  1 Bi 3.17, 2 Sb 3.39, 2 Ba 3.52
Bi (0.3705, 0.1295, 0.5000)  1 Bi 3.17, 2 Sb 3.39, 2 Ba 3.52
Bi (0.6295, 0.8705, 0.5000)  1 Bi 3.17, 2 Sb 3.39, 2 Ba 3.52
Bi (0.8705, 0.3705, 0.5000)  1 Bi 3.17, 2 Sb 3.39, 2 Ba 3.52
Sb (0.0000, 0.0000, 0.5000)  4 Bi 3.39
Sb (0.5000, 0.5000, 0.5000)  4 Bi 3.39

Symmetry: No. 127



#iii
An optimized crystal structure of Ba2Bi2Sb, computed with PBE.

a = 10.5511 Å, b = 10.5511 Å, c = 10.5511 Å
α = 155.39°, β = 155.39°, γ = 35.08°
Closest atoms and distances in Å follow each position.
Positions (direct):
Ba (0.0967, 0.0967, 0.0000)  4 Sb 3.73, 4 Bi 3.82, 1 Ba 3.89
Ba (0.9033, 0.9033, 0.0000)  4 Sb 3.73, 4 Bi 3.82, 1 Ba 3.89
Bi (0.2500, 0.7500, 0.5000)  4 Bi 3.18
Bi (0.7500, 0.2500, 0.5000)  4 Bi 3.18
Sb (0.5000, 0.5000, 0.0000)  8 Ba 3.73

Symmetry: No. 139



The winner here is #ii, beating the second structure by 0.009 eV/atom.